No. 1
Be3RuBr: relaxed, PBE.

Properties
As for the total magnetic moment: 0.00 μB per formula unit. Its relative energy among the computed polymorphs is 0.0000 eV/atom.

Cell: 4.305 4.305 4.305 Å, 90.00 90.00 90.00°
Atoms (fractional coordinates):
1 Ru 0.000 0.000 0.000
2 Be 0.000 0.000 0.500
3 Be 0.000 0.500 0.000
4 Be 0.500 0.000 0.000
5 Br 0.500 0.500 0.500

No. 2
Be2Ru2Br: relaxed, PBE.

Properties
As for the total magnetic moment: 0.00 μB per formula unit. Its relative energy among the computed polymorphs is 0.0123 eV/atom.

Cell: 3.098 3.098 7.122 Å, 77.44 77.44 90.00°
Atoms (fractional coordinates):
1 Ru 0.382 0.382 0.236
2 Ru 0.618 0.618 0.764
3 Be 0.750 0.250 0.500
4 Be 0.250 0.750 0.500
5 Br 0.000 0.000 0.000

Quick rundown of energy relative to the elements, uncorrected, same order as above: 4.21, 2.00 eV/f.u.